Record 1
Computed, not measured: a PBEsol-optimized structure of Sc2MoSe at the SCAN level of DFT.

```
data_Sc2MoSe
_chemical_formula_sum 'Sc2 Mo1 Se1'
_symmetry_space_group_name_H-M 'P 1'
_symmetry_Int_Tables_number 1
_cell_length_a 3.6221
_cell_length_b 3.6221
_cell_length_c 5.7335
_cell_angle_alpha 90.00
_cell_angle_beta 90.00
_cell_angle_gamma 90.00
loop_
_symmetry_equiv_pos_as_xyz
'x,y,z'
loop_
_atom_site_label
_atom_site_type_symbol
_atom_site_fract_x
_atom_site_fract_y
_atom_site_fract_z
Sc1 Sc 0.0000 0.0000 0.0000
Sc2 Sc 0.5000 0.5000 0.3197
Mo1 Mo 0.5000 0.5000 0.8412
Se1 Se 0.0000 0.0000 0.4960
```

E above lowest polymorph: 0 meV/atom
Space group: P4mm, No. 99
Raw total energy: -84.4 eV for the cell shown
Raw formation energy: -0.24 eV per atom

Record 2
Computed, not measured: a PBEsol-optimized structure of Sc2MoSe at the SCAN level of DFT.

```
data_Sc2MoSe
_chemical_formula_sum 'Sc2 Mo1 Se1'
_symmetry_space_group_name_H-M 'P 1'
_symmetry_Int_Tables_number 1
_cell_length_a 4.5793
_cell_length_b 4.5793
_cell_length_c 4.5793
_cell_angle_alpha 60.00
_cell_angle_beta 60.00
_cell_angle_gamma 60.00
loop_
_symmetry_equiv_pos_as_xyz
'x,y,z'
loop_
_atom_site_label
_atom_site_type_symbol
_atom_site_fract_x
_atom_site_fract_y
_atom_site_fract_z
Sc1 Sc 0.0000 0.0000 0.0000
Sc2 Sc 0.2500 0.2500 0.2500
Mo1 Mo 0.5000 0.5000 0.5000
Se1 Se 0.7500 0.7500 0.7500
```

E above lowest polymorph: 284 meV/atom
Space group: F-43m, No. 216
Raw total energy: -83.3 eV for the cell shown
Raw formation energy: 0.05 eV per atom

Record 3
Computed, not measured: a PBEsol-optimized structure of Sc3MoSe at the SCAN level of DFT.

```
data_Sc3MoSe
_chemical_formula_sum 'Sc3 Mo1 Se1'
_symmetry_space_group_name_H-M 'P 1'
_symmetry_Int_Tables_number 1
_cell_length_a 4.9390
_cell_length_b 4.9390
_cell_length_c 4.9390
_cell_angle_alpha 90.00
_cell_angle_beta 90.00
_cell_angle_gamma 90.00
loop_
_symmetry_equiv_pos_as_xyz
'x,y,z'
loop_
_atom_site_label
_atom_site_type_symbol
_atom_site_fract_x
_atom_site_fract_y
_atom_site_fract_z
Sc1 Sc 0.0000 0.0000 0.5000
Sc2 Sc 0.0000 0.5000 0.0000
Sc3 Sc 0.5000 0.0000 0.0000
Mo1 Mo 0.0000 0.0000 0.0000
Se1 Se 0.5000 0.5000 0.5000
```

Space group: Pm-3m, No. 221
Raw total energy: -96.2 eV for the cell shown
Raw formation energy: 0.29 eV per atom

Record 4
Computed, not measured: a PBEsol-optimized structure of Sc2SiMo at the SCAN level of DFT.

```
data_Sc2SiMo
_chemical_formula_sum 'Sc2 Si1 Mo1'
_symmetry_space_group_name_H-M 'P 1'
_symmetry_Int_Tables_number 1
_cell_length_a 9.6994
_cell_length_b 9.6994
_cell_length_c 9.6994
_cell_angle_alpha 17.47
_cell_angle_beta 17.47
_cell_angle_gamma 17.47
loop_
_symmetry_equiv_pos_as_xyz
'x,y,z'
loop_
_atom_site_label
_atom_site_type_symbol
_atom_site_fract_x
_atom_site_fract_y
_atom_site_fract_z
Sc1 Sc 0.0910 0.0910 0.0910
Sc2 Sc 0.9090 0.9090 0.9090
Si1 Si 0.5000 0.5000 0.5000
Mo1 Mo 0.0000 0.0000 0.0000
```

Space group: R-3m, No. 166
Raw total energy: -72.1 eV for the cell shown
Raw formation energy: 0.31 eV per atom

Record 5
Computed, not measured: a PBEsol-optimized structure of Sc2Si2Mo at the SCAN level of DFT.

```
data_Sc2Si2Mo
_chemical_formula_sum 'Sc4 Si4 Mo2'
_symmetry_space_group_name_H-M 'P 1'
_symmetry_Int_Tables_number 1
_cell_length_a 6.6479
_cell_length_b 6.6479
_cell_length_c 3.7735
_cell_angle_alpha 90.00
_cell_angle_beta 90.00
_cell_angle_gamma 90.00
loop_
_symmetry_equiv_pos_as_xyz
'x,y,z'
loop_
_atom_site_label
_atom_site_type_symbol
_atom_site_fract_x
_atom_site_fract_y
_atom_site_fract_z
Sc1 Sc 0.1763 0.3237 0.0000
Sc2 Sc 0.3237 0.8237 0.0000
Sc3 Sc 0.6763 0.1763 0.0000
Sc4 Sc 0.8237 0.6763 0.0000
Si1 Si 0.1284 0.6284 0.5000
Si2 Si 0.3716 0.1284 0.5000
Si3 Si 0.6284 0.8716 0.5000
Si4 Si 0.8716 0.3716 0.5000
Mo1 Mo 0.0000 0.0000 0.5000
Mo2 Mo 0.5000 0.5000 0.5000
```

Space group: P4/mbm, No. 127
Raw total energy: -173.5 eV for the cell shown
Raw formation energy: -0.67 eV per atom

Record 6
Computed, not measured: a PBEsol-optimized structure of Sc2SiMo at the SCAN level of DFT.

```
data_Sc2SiMo
_chemical_formula_sum 'Sc2 Si1 Mo1'
_symmetry_space_group_name_H-M 'P 1'
_symmetry_Int_Tables_number 1
_cell_length_a 9.0353
_cell_length_b 9.0353
_cell_length_c 9.0353
_cell_angle_alpha 19.43
_cell_angle_beta 19.43
_cell_angle_gamma 19.43
loop_
_symmetry_equiv_pos_as_xyz
'x,y,z'
loop_
_atom_site_label
_atom_site_type_symbol
_atom_site_fract_x
_atom_site_fract_y
_atom_site_fract_z
Sc1 Sc 0.2488 0.2488 0.2488
Sc2 Sc 0.7512 0.7512 0.7512
Si1 Si 0.5000 0.5000 0.5000
Mo1 Mo 0.0000 0.0000 0.0000
```

Space group: R-3m, No. 166
Raw total energy: -73.1 eV for the cell shown
Raw formation energy: 0.06 eV per atom

Record 7
Computed, not measured: a PBEsol-optimized structure of Sc2TaMo at the SCAN level of DFT.

```
data_Sc2TaMo
_chemical_formula_sum 'Sc2 Ta1 Mo1'
_symmetry_space_group_name_H-M 'P 1'
_symmetry_Int_Tables_number 1
_cell_length_a 5.5336
_cell_length_b 5.5336
_cell_length_c 5.5336
_cell_angle_alpha 144.63
_cell_angle_beta 127.45
_cell_angle_gamma 64.94
loop_
_symmetry_equiv_pos_as_xyz
'x,y,z'
loop_
_atom_site_label
_atom_site_type_symbol
_atom_site_fract_x
_atom_site_fract_y
_atom_site_fract_z
Sc1 Sc 0.0000 0.0000 0.0000
Sc2 Sc 0.7202 0.2202 0.5000
Ta1 Ta 0.2763 0.7763 0.5000
Mo1 Mo 0.4744 0.4744 0.0000
```

E above lowest polymorph: 0 meV/atom
Space group: Imm2, No. 44
Raw total energy: -129.7 eV for the cell shown
DFT formation energy: 71 meV per atom

Record 8
Computed, not measured: a PBEsol-optimized structure of Sc4TaMo at the SCAN level of DFT.

```
data_Sc4TaMo
_chemical_formula_sum 'Sc4 Ta1 Mo1'
_symmetry_space_group_name_H-M 'P 1'
_symmetry_Int_Tables_number 1
_cell_length_a 5.4803
_cell_length_b 5.4803
_cell_length_c 5.4803
_cell_angle_alpha 60.00
_cell_angle_beta 60.00
_cell_angle_gamma 60.00
loop_
_symmetry_equiv_pos_as_xyz
'x,y,z'
loop_
_atom_site_label
_atom_site_type_symbol
_atom_site_fract_x
_atom_site_fract_y
_atom_site_fract_z
Sc1 Sc 0.1252 0.1252 0.1252
Sc2 Sc 0.1252 0.1252 0.6245
Sc3 Sc 0.1252 0.6245 0.1252
Sc4 Sc 0.6245 0.1252 0.1252
Ta1 Ta 0.5000 0.5000 0.5000
Mo1 Mo 0.7500 0.7500 0.7500
```

Space group: F-43m, No. 216
Raw total energy: -153.8 eV for the cell shown
DFT formation energy: 764 meV per atom

Record 9
Computed, not measured: a PBEsol-optimized structure of Sc2TaMo at the SCAN level of DFT.

```
data_Sc2TaMo
_chemical_formula_sum 'Sc2 Ta1 Mo1'
_symmetry_space_group_name_H-M 'P 1'
_symmetry_Int_Tables_number 1
_cell_length_a 3.9338
_cell_length_b 3.9338
_cell_length_c 4.7757
_cell_angle_alpha 90.00
_cell_angle_beta 90.00
_cell_angle_gamma 90.00
loop_
_symmetry_equiv_pos_as_xyz
'x,y,z'
loop_
_atom_site_label
_atom_site_type_symbol
_atom_site_fract_x
_atom_site_fract_y
_atom_site_fract_z
Sc1 Sc 0.0000 0.5000 0.0000
Sc2 Sc 0.5000 0.0000 0.0000
Ta1 Ta 0.0000 0.0000 0.5000
Mo1 Mo 0.5000 0.5000 0.5000
```

E above lowest polymorph: 144 meV/atom
Space group: P4/mmm, No. 123
Raw total energy: -129.1 eV for the cell shown
DFT formation energy: 215 meV per atom

Record 10
Computed, not measured: a PBEsol-optimized structure of ScTc2Mo at the SCAN level of DFT.

```
data_ScTc2Mo
_chemical_formula_sum 'Sc1 Tc2 Mo1'
_symmetry_space_group_name_H-M 'P 1'
_symmetry_Int_Tables_number 1
_cell_length_a 3.1132
_cell_length_b 3.1132
_cell_length_c 6.3842
_cell_angle_alpha 90.00
_cell_angle_beta 90.00
_cell_angle_gamma 90.00
loop_
_symmetry_equiv_pos_as_xyz
'x,y,z'
loop_
_atom_site_label
_atom_site_type_symbol
_atom_site_fract_x
_atom_site_fract_y
_atom_site_fract_z
Sc1 Sc 0.0000 0.0000 0.0000
Tc1 Tc 0.5000 0.5000 0.2677
Tc2 Tc 0.5000 0.5000 0.7323
Mo1 Mo 0.0000 0.0000 0.5000
```

E above lowest polymorph: 0 meV/atom
Space group: P4/mmm, No. 123
Raw total energy: -120.1 eV for the cell shown
DFT formation energy: -222 meV per atom

Record 11
Computed, not measured: a PBEsol-optimized structure of ScTc2Mo at the SCAN level of DFT.

```
data_ScTc2Mo
_chemical_formula_sum 'Sc1 Tc2 Mo1'
_symmetry_space_group_name_H-M 'P 1'
_symmetry_Int_Tables_number 1
_cell_length_a 4.4125
_cell_length_b 4.4125
_cell_length_c 4.4125
_cell_angle_alpha 60.00
_cell_angle_beta 60.00
_cell_angle_gamma 60.00
loop_
_symmetry_equiv_pos_as_xyz
'x,y,z'
loop_
_atom_site_label
_atom_site_type_symbol
_atom_site_fract_x
_atom_site_fract_y
_atom_site_fract_z
Sc1 Sc 0.0000 0.0000 0.0000
Tc1 Tc 0.2500 0.2500 0.2500
Tc2 Tc 0.7500 0.7500 0.7500
Mo1 Mo 0.5000 0.5000 0.5000
```

E above lowest polymorph: 1 meV/atom
Space group: Fm-3m, No. 225
Raw total energy: -120.1 eV for the cell shown
DFT formation energy: -221 meV per atom

Record 12
Computed, not measured: a PBEsol-optimized structure of ScTc2Mo at the SCAN level of DFT.

```
data_ScTc2Mo
_chemical_formula_sum 'Sc1 Tc2 Mo1'
_symmetry_space_group_name_H-M 'P 1'
_symmetry_Int_Tables_number 1
_cell_length_a 4.4087
_cell_length_b 4.4087
_cell_length_c 4.4087
_cell_angle_alpha 60.00
_cell_angle_beta 60.00
_cell_angle_gamma 60.00
loop_
_symmetry_equiv_pos_as_xyz
'x,y,z'
loop_
_atom_site_label
_atom_site_type_symbol
_atom_site_fract_x
_atom_site_fract_y
_atom_site_fract_z
Sc1 Sc 0.0000 0.0000 0.0000
Tc1 Tc 0.5000 0.5000 0.5000
Tc2 Tc 0.7500 0.7500 0.7500
Mo1 Mo 0.2500 0.2500 0.2500
```

E above lowest polymorph: 160 meV/atom
Space group: F-43m, No. 216
Raw total energy: -119.5 eV for the cell shown
DFT formation energy: -62 meV per atom

Record 13
Computed, not measured: a PBEsol-optimized structure of ScTcMo at the SCAN level of DFT.

```
data_ScTcMo
_chemical_formula_sum 'Sc1 Tc1 Mo1'
_symmetry_space_group_name_H-M 'P 1'
_symmetry_Int_Tables_number 1
_cell_length_a 5.4864
_cell_length_b 5.4864
_cell_length_c 5.4864
_cell_angle_alpha 147.05
_cell_angle_beta 147.05
_cell_angle_gamma 47.29
loop_
_symmetry_equiv_pos_as_xyz
'x,y,z'
loop_
_atom_site_label
_atom_site_type_symbol
_atom_site_fract_x
_atom_site_fract_y
_atom_site_fract_z
Sc1 Sc 0.0000 0.0000 0.0000
Tc1 Tc 0.6775 0.6775 0.0000
Mo1 Mo 0.3145 0.3145 0.0000
```

E above lowest polymorph: 33 meV/atom
Space group: I4mm, No. 107
Raw total energy: -84.8 eV for the cell shown
DFT formation energy: -191 meV per atom

Record 14
Computed, not measured: a PBEsol-optimized structure of ScTcMo at the SCAN level of DFT.

```
data_ScTcMo
_chemical_formula_sum 'Sc2 Tc2 Mo2'
_symmetry_space_group_name_H-M 'P 1'
_symmetry_Int_Tables_number 1
_cell_length_a 5.2353
_cell_length_b 5.2353
_cell_length_c 5.2353
_cell_angle_alpha 119.65
_cell_angle_beta 119.64
_cell_angle_gamma 90.61
loop_
_symmetry_equiv_pos_as_xyz
'x,y,z'
loop_
_atom_site_label
_atom_site_type_symbol
_atom_site_fract_x
_atom_site_fract_y
_atom_site_fract_z
Sc1 Sc 0.3769 0.1269 0.2500
Sc2 Sc 0.6231 0.8731 0.7500
Tc1 Tc 0.0000 0.5000 0.5000
Tc2 Tc 0.5000 0.5000 0.0000
Mo1 Mo 0.0000 0.0000 0.5000
Mo2 Mo 0.0000 0.5000 0.0000
```

E above lowest polymorph: 0 meV/atom
Space group: Imma, No. 74
Raw total energy: -169.7 eV for the cell shown
DFT formation energy: -224 meV per atom

Record 15
Computed, not measured: a PBEsol-optimized structure of ScTeMo2 at the SCAN level of DFT.

```
data_ScTeMo2
_chemical_formula_sum 'Sc1 Te1 Mo2'
_symmetry_space_group_name_H-M 'P 1'
_symmetry_Int_Tables_number 1
_cell_length_a 4.9369
_cell_length_b 4.9369
_cell_length_c 4.9369
_cell_angle_alpha 129.65
_cell_angle_beta 129.65
_cell_angle_gamma 73.96
loop_
_symmetry_equiv_pos_as_xyz
'x,y,z'
loop_
_atom_site_label
_atom_site_type_symbol
_atom_site_fract_x
_atom_site_fract_y
_atom_site_fract_z
Sc1 Sc 0.0000 0.0000 0.0000
Te1 Te 0.7500 0.2500 0.5000
Mo1 Mo 0.2500 0.7500 0.5000
Mo2 Mo 0.5000 0.5000 0.0000
```

Space group: I-4m2, No. 119
Raw total energy: -120.7 eV for the cell shown
Raw formation energy: 0.13 eV per atom